No. 1
First-principles (PBEsol) data for a relaxed Sc3Fe crystal, as listed in Alexandria via LeMat-Bulk.

Cell and atoms, written as POSCAR:
```
Sc3Fe
1.0
3.0870 0.0417 0.0000
-0.0466 3.0869 0.0000
0.0000 0.0000 8.0913
Sc Fe
3 1
direct
0.5000 0.5000 0.1827
0.0000 0.0000 0.5000
0.5000 0.5000 0.8173
0.0000 0.0000 0.0000
```

Summary:
V ... 19.3 Å³/atom
Energy ... -28.959 eV per cell
Spin magnetization ... 0.01 μB per formula unit



No. 2
First-principles (PBEsol) data for a relaxed Sc3Fe crystal, as listed in Alexandria via LeMat-Bulk.

Cell and atoms, written as POSCAR:
```
Sc3Fe
1.0
3.2140 0.0000 0.0000
0.0000 4.8148 0.0000
-1.6070 -2.4074 4.8558
Sc Fe
3 1
direct
0.5000 0.5000 0.0000
0.3023 0.8023 0.6046
0.6977 0.1977 0.3954
0.0000 0.0000 0.0000
```

Summary:
V ... 18.8 Å³/atom
Energy ... -29.027 eV per cell
Spin magnetization ... 0.00 μB per formula unit



No. 3
First-principles (PBEsol) data for a relaxed Sc3Fe2 crystal, as listed in Alexandria via LeMat-Bulk.

Cell and atoms, written as POSCAR:
```
Sc3Fe2
1.0
3.1016 0.0000 0.0000
1.5508 2.6860 0.0000
1.5508 0.8953 10.2661
Fe Sc
2 3
direct
0.6046 0.6046 0.1862
0.3954 0.3954 0.8138
0.7859 0.7859 0.6423
0.0000 0.0000 0.0000
0.2141 0.2141 0.3577
```

Summary:
V ... 17.1 Å³/atom
Energy ... -36.656 eV per cell
Spin magnetization ... 1.23 μB per formula unit



No. 4
First-principles (PBEsol) data for a relaxed Sc2Fe crystal, as listed in Alexandria via LeMat-Bulk.

Cell and atoms, written as POSCAR:
```
Sc2Fe
1.0
-2.1429 -2.1107 -0.9786
2.3343 0.8979 -1.9363
3.6841 -4.7732 2.2280
Sc Fe
2 1
direct
0.3333 0.6667 0.2747
0.6667 0.3333 0.7253
0.0000 0.0000 0.0000
```

Summary:
V ... 18.6 Å³/atom
Energy ... -21.677 eV per cell
Spin magnetization ... 0.60 μB per formula unit



No. 5
First-principles (PBEsol) data for a relaxed Sc2FeSe crystal, as listed in Alexandria via LeMat-Bulk.

Cell and atoms, written as POSCAR:
```
Sc2FeSe
1.0
3.4297 0.0000 -0.0117
0.0000 3.9855 0.0000
-1.6992 0.0000 4.8776
Sc Se Fe
2 1 1
direct
0.7231 0.5000 0.3218
0.0166 0.0000 0.9080
0.2997 0.0000 0.4748
0.4607 0.5000 0.7954
```

Summary:
V ... 16.6 Å³/atom
Raw formation energy ... -0.788 eV/atom
Spin magnetization ... 0.01 μB per formula unit



No. 6
First-principles (PBEsol) data for a relaxed ScFeSe2 crystal, as listed in Alexandria via LeMat-Bulk.

Cell and atoms, written as POSCAR:
```
ScFeSe2
1.0
-0.2531 3.3644 0.4401
-1.6266 0.2554 -2.8881
-5.7140 -0.9145 3.1373
Se Fe Sc
2 1 1
direct
0.5033 0.0000 0.7319
0.4967 0.0000 0.2681
0.5000 0.5000 0.0000
0.0000 0.5000 0.5000
```

Summary:
V ... 18.6 Å³/atom
Raw formation energy ... -0.641 eV/atom
Spin magnetization ... 2.63 μB per formula unit